## KMg4Se (PBE)

Data for an optimized crystal structure of KMg4Se.

## Properties
- E: -1.764 eV/atom
- Uncorrected formation energy: 1.45 kcal/mol of atoms
- Space group: F-43m (216)

```
data_KMg4Se
_cell_length_a 6.171
_cell_length_b 6.171
_cell_length_c 6.171
_cell_angle_alpha 60.00
_cell_angle_beta 60.00
_cell_angle_gamma 60.00
_space_group_name_H-M_alt 'P 1'
_space_group_IT_number 1
_space_group_name_Hall 'P 1'
loop_
_atom_site_label
_atom_site_fract_x
_atom_site_fract_y
_atom_site_fract_z
_atom_site_occupancy
Mg1 0.871 0.376 0.376 1
Mg2 0.376 0.871 0.376 1
Mg3 0.376 0.376 0.871 1
Mg4 0.376 0.376 0.376 1
Se1 0.750 0.750 0.750 1
K1 0.000 0.000 0.000 1
```

## NiRuSe6 (PBE)

Data for an optimized crystal structure of NiRuSe6.

## Properties
- E: -4.642 eV/atom
- Uncorrected formation energy: -3.37 kcal/mol of atoms
- Space group: P-1 (2)

```
data_NiRuSe6
_cell_length_a 5.986
_cell_length_b 6.084
_cell_length_c 6.570
_cell_angle_alpha 55.87
_cell_angle_beta 59.86
_cell_angle_gamma 60.79
_space_group_name_H-M_alt 'P 1'
_space_group_IT_number 1
_space_group_name_Hall 'P 1'
loop_
_atom_site_label
_atom_site_fract_x
_atom_site_fract_y
_atom_site_fract_z
_atom_site_occupancy
Ru1 0.500 0.500 0.500 1
Ni1 0.000 0.000 0.000 1
Se1 0.580 0.203 0.303 1
Se2 0.038 0.457 0.696 1
Se3 0.962 0.543 0.304 1
Se4 0.699 0.052 0.818 1
Se5 0.301 0.948 0.182 1
Se6 0.420 0.797 0.697 1
```

## TaAgAu2 (PBE)

Data for an optimized crystal structure of TaAgAu2.

## Properties
- Calculated formation energy: 275 meV per atom
- E: -5.039 eV/atom
- Space group: Pmmm (47)

```
data_TaAgAu2
_cell_length_a 2.830
_cell_length_b 5.141
_cell_length_c 5.003
_cell_angle_alpha 90.00
_cell_angle_beta 90.00
_cell_angle_gamma 90.00
_space_group_name_H-M_alt 'P 1'
_space_group_IT_number 1
_space_group_name_Hall 'P 1'
loop_
_atom_site_label
_atom_site_fract_x
_atom_site_fract_y
_atom_site_fract_z
_atom_site_occupancy
Ta1 0.500 0.000 0.500 1
Ag1 0.000 0.500 0.500 1
Au1 0.000 0.000 0.000 1
Au2 0.500 0.500 0.000 1
```

## UGe2Rh2 (PBE)

Data for an optimized crystal structure of UGe2Rh2.

## Properties
- Polymorph energy (0 for the lowest one): 397 meV/atom
- Calculated formation energy: -149 meV per atom
- E: -7.194 eV/atom
- Space group: P4mm (99)

```
data_UGe2Rh2
_cell_length_a 4.775
_cell_length_b 4.775
_cell_length_c 8.235
_cell_angle_alpha 90.00
_cell_angle_beta 90.00
_cell_angle_gamma 90.00
_space_group_name_H-M_alt 'P 1'
_space_group_IT_number 1
_space_group_name_Hall 'P 1'
loop_
_atom_site_label
_atom_site_fract_x
_atom_site_fract_y
_atom_site_fract_z
_atom_site_occupancy
Rh1 0.000 0.500 0.755 1
Rh2 0.000 0.000 0.192 1
Rh3 0.000 0.000 0.554 1
Rh4 0.500 0.000 0.755 1
Ge1 0.000 0.500 0.344 1
Ge2 0.500 0.500 0.197 1
Ge3 0.500 0.500 0.901 1
Ge4 0.500 0.000 0.344 1
U1 0.000 0.000 0.905 1
U2 0.500 0.500 0.553 1
```

## Nd3Ho2Er6Tm (PBE)

Data for an optimized crystal structure of Nd3Ho2Er6Tm.

## Properties
- Calculated formation energy: 22 meV per atom
- E: -4.587 eV/atom
- Space group: C2/m (12)

```
data_Nd3Ho2Er6Tm
_cell_length_a 6.156
_cell_length_b 6.156
_cell_length_c 11.729
_cell_angle_alpha 95.01
_cell_angle_beta 95.01
_cell_angle_gamma 119.97
_space_group_name_H-M_alt 'P 1'
_space_group_IT_number 1
_space_group_name_Hall 'P 1'
loop_
_atom_site_label
_atom_site_fract_x
_atom_site_fract_y
_atom_site_fract_z
_atom_site_occupancy
Nd1 0.500 0.500 0.500 1
Nd2 0.833 0.167 0.500 1
Nd3 0.167 0.833 0.500 1
Er1 0.585 0.918 0.754 1
Er2 0.251 0.251 0.754 1
Er3 0.749 0.749 0.246 1
Er4 0.918 0.585 0.754 1
Er5 0.082 0.415 0.246 1
Er6 0.415 0.082 0.246 1
Tm1 0.000 0.000 0.000 1
Ho1 0.333 0.667 0.000 1
Ho2 0.667 0.333 0.000 1
```

## Ca3Cd4Pd8 (PBE)

Data for an optimized crystal structure of Ca3Cd4Pd8.

## Properties
- Calculated formation energy: -514 meV per atom
- E: -3.928 eV/atom
- Space group: Fm-3m (225)

```
data_Ca3Cd4Pd8
_cell_length_a 9.421
_cell_length_b 9.421
_cell_length_c 9.421
_cell_angle_alpha 60.00
_cell_angle_beta 60.00
_cell_angle_gamma 60.00
_space_group_name_H-M_alt 'P 1'
_space_group_IT_number 1
_space_group_name_Hall 'P 1'
loop_
_atom_site_label
_atom_site_fract_x
_atom_site_fract_y
_atom_site_fract_z
_atom_site_occupancy
Ca1 0.732 0.268 0.732 1
Ca2 0.268 0.268 0.732 1
Ca3 0.732 0.732 0.268 1
Ca4 0.732 0.268 0.268 1
Ca5 0.268 0.732 0.732 1
Ca6 0.268 0.732 0.268 1
Pd1 0.672 0.672 0.672 1
Pd2 0.122 0.122 0.122 1
Pd3 0.017 0.328 0.328 1
Pd4 0.672 0.672 0.983 1
Pd5 0.328 0.328 0.328 1
Pd6 0.122 0.122 0.633 1
Pd7 0.633 0.122 0.122 1
Pd8 0.878 0.878 0.878 1
Pd9 0.328 0.017 0.328 1
Pd10 0.672 0.983 0.672 1
Pd11 0.328 0.328 0.017 1
Pd12 0.122 0.633 0.122 1
Pd13 0.983 0.672 0.672 1
Pd14 0.367 0.878 0.878 1
Pd15 0.878 0.367 0.878 1
Pd16 0.878 0.878 0.367 1
Cd1 0.000 0.500 0.500 1
Cd2 0.000 0.500 0.000 1
Cd3 0.500 0.000 0.500 1
Cd4 0.000 0.000 0.000 1
Cd5 0.000 0.000 0.500 1
Cd6 0.500 0.000 0.000 1
Cd7 0.500 0.500 0.500 1
Cd8 0.500 0.500 0.000 1
```

## Na2PuTcO5 (PBE)

Data for an optimized crystal structure of Na2PuTcO5.

## Properties
- E: -7.283 eV/atom
- Uncorrected formation energy: -34.40 kcal/mol of atoms
- Space group: P4/mbm (127)

```
data_Na2PuTcO5
_cell_length_a 5.622
_cell_length_b 6.348
_cell_length_c 6.348
_cell_angle_alpha 90.00
_cell_angle_beta 90.00
_cell_angle_gamma 90.00
_space_group_name_H-M_alt 'P 1'
_space_group_IT_number 1
_space_group_name_Hall 'P 1'
loop_
_atom_site_label
_atom_site_fract_x
_atom_site_fract_y
_atom_site_fract_z
_atom_site_occupancy
O1 0.222 0.155 0.655 1
O2 0.778 0.155 0.655 1
O3 0.222 0.345 0.155 1
O4 0.500 0.500 0.500 1
O5 0.222 0.655 0.845 1
O6 0.222 0.845 0.345 1
O7 0.778 0.845 0.345 1
O8 0.500 0.000 0.000 1
O9 0.778 0.345 0.155 1
O10 0.778 0.655 0.845 1
Pu1 0.000 0.500 0.500 1
Pu2 0.000 0.000 0.000 1
Tc1 0.000 0.500 0.000 1
Tc2 0.000 0.000 0.500 1
Na1 0.500 0.164 0.336 1
Na2 0.500 0.836 0.664 1
Na3 0.500 0.336 0.836 1
Na4 0.500 0.664 0.164 1
```

## PrEr3Sc3 (PBE)

Data for an optimized crystal structure of PrEr3Sc3.

## Properties
- Polymorph energy (0 for the lowest one): 97 meV/atom
- Calculated formation energy: 283 meV per atom
- E: -5.069 eV/atom
- Space group: R3m (160)

```
data_PrEr3Sc3
_cell_length_a 6.666
_cell_length_b 6.434
_cell_length_c 6.434
_cell_angle_alpha 108.73
_cell_angle_beta 110.20
_cell_angle_gamma 110.20
_space_group_name_H-M_alt 'P 1'
_space_group_IT_number 1
_space_group_name_Hall 'P 1'
loop_
_atom_site_label
_atom_site_fract_x
_atom_site_fract_y
_atom_site_fract_z
_atom_site_occupancy
Er1 0.564 0.585 0.585 1
Er2 0.979 0.415 0.000 1
Er3 0.979 0.000 0.415 1
Sc1 0.476 0.000 0.471 1
Sc2 0.476 0.471 0.000 1
Sc3 0.006 0.529 0.529 1
Pr1 0.496 0.000 0.000 1
```

Which of these has the highest E? KMg4Se